(1)
Entry from Alexandria: crystalline BeBi at its relaxed geometry (PBE).

Structure (POSCAR):
```
BeBi
1.0
3.837 0.000 0.000
-1.918 3.323 0.000
0.000 0.000 7.548
Be Bi
2 2
Cartesian
0.000 2.215 0.000 Be
1.918 1.108 3.774 Be
0.000 2.215 2.481 Bi
1.918 1.108 6.254 Bi
```

Calculated density (g/cm3): 7.5
Energy relative to the lowest polymorph listed for this composition (meV per atom): 232
Space-group type: No. 186
Volume (A^3/atom): 24.06
DOS at the Fermi energy (states/eV per cell): 1.68

---

(2)
Entry from Alexandria: crystalline BeBi at its relaxed geometry (PBE).

Structure (POSCAR):
```
BeBi
1.0
9.565 0.000 0.000
-4.783 8.284 0.000
0.000 0.000 4.019
Be Bi
6 6
Cartesian
-2.047 3.613 1.005 Be
-0.630 8.250 1.005 Be
2.105 3.579 3.014 Be
2.677 4.704 1.005 Be
5.413 0.033 3.014 Be
6.830 4.671 3.014 Be
-2.154 6.178 1.005 Bi
0.510 3.329 1.005 Bi
3.138 1.223 3.014 Bi
1.645 7.060 1.005 Bi
4.273 4.954 3.014 Bi
6.937 2.106 3.014 Bi
```

Calculated density (g/cm3): 6.8
Energy relative to the lowest polymorph listed for this composition (meV per atom): 239
Space-group type: No. 176
Volume (A^3/atom): 26.53
DOS at the Fermi energy (states/eV per cell): 6.75

---

(3)
Entry from Alexandria: crystalline BeBi at its relaxed geometry (PBE).

Structure (POSCAR):
```
BeBi
1.0
3.559 0.000 0.000
0.000 3.559 0.000
0.000 0.000 7.783
Be Bi
2 2
Cartesian
0.890 2.670 0.000 Be
2.670 0.890 0.000 Be
0.890 0.890 1.939 Bi
2.670 2.670 5.843 Bi
```

Calculated density (g/cm3): 7.3
Energy relative to the lowest polymorph listed for this composition (meV per atom): 0
Space-group type: No. 129
Volume (A^3/atom): 24.65
DOS at the Fermi energy (states/eV per cell): 1.17

---

(4)
Entry from Alexandria: crystalline BeBi at its relaxed geometry (PBE).

Structure (POSCAR):
```
BeBi
1.0
0.000 4.245 5.282
4.022 0.000 5.282
4.022 4.245 0.000
Be Bi
4 4
Cartesian
1.006 1.061 0.223 Be
1.006 1.061 2.418 Be
7.039 7.428 8.146 Be
7.039 7.428 10.340 Be
3.017 1.383 3.961 Bi
5.028 3.506 6.602 Bi
3.017 4.983 3.961 Bi
5.028 7.106 6.602 Bi
```

Calculated density (g/cm3): 8.0
Energy relative to the lowest polymorph listed for this composition (meV per atom): 192
Space-group type: No. 70
Volume (A^3/atom): 22.54
DOS at the Fermi energy (states/eV per cell): 2.97

---

(5)
Entry from Alexandria: crystalline BeBi at its relaxed geometry (PBE).

Structure (POSCAR):
```
BeBi
1.0
3.284 -1.843 0.000
3.284 1.843 0.000
-2.060 0.000 7.926
Be Bi
2 2
Cartesian
0.000 0.000 0.000 Be
2.365 0.000 7.409 Be
0.191 0.000 6.003 Bi
4.471 0.000 1.966 Bi
```

Calculated density (g/cm3): 7.5
Energy relative to the lowest polymorph listed for this composition (meV per atom): 39
Space-group type: No. 8
Volume (A^3/atom): 23.99
DOS at the Fermi energy (states/eV per cell): 0.95

---

(6)
Entry from Alexandria: crystalline BeBi at its relaxed geometry (PBE).

Structure (POSCAR):
```
BeBi
1.0
6.055 0.000 0.000
0.000 7.882 0.000
0.000 0.000 7.890
Be Bi
8 8
Cartesian
0.676 0.533 2.978 Be
1.155 3.372 0.552 Be
1.872 4.510 4.497 Be
2.351 7.349 6.923 Be
3.704 3.408 4.911 Be
4.182 0.569 7.338 Be
4.900 7.313 3.393 Be
5.378 4.474 0.966 Be
0.187 3.148 3.135 Bi
0.669 6.677 5.058 Bi
2.358 1.205 1.114 Bi
2.841 4.734 7.080 Bi
3.214 0.793 4.755 Bi
3.697 5.146 2.831 Bi
5.385 2.736 6.776 Bi
5.868 7.089 0.810 Bi
```

Calculated density (g/cm3): 7.7
Energy relative to the lowest polymorph listed for this composition (meV per atom): 204
Space-group type: No. 19
Volume (A^3/atom): 23.53
DOS at the Fermi energy (states/eV per cell): 0.96

---

(7)
Entry from Alexandria: crystalline BeBiBr3 at its relaxed geometry (PBE).

Structure (POSCAR):
```
BeBiBr3
1.0
5.759 0.000 0.000
0.000 5.759 0.000
0.000 0.000 5.759
Be Bi Br
1 1 3
Cartesian
0.000 0.000 0.000 Be
2.879 2.879 2.879 Bi
0.000 2.879 2.879 Br
2.879 0.000 2.879 Br
2.879 2.879 0.000 Br
```

Calculated density (g/cm3): 4.0
Space-group type: No. 221
Volume (A^3/atom): 38.20
DOS at the Fermi energy (states/eV per cell): 3.75
Formation energy (no corrections) (eV per atom): 0.23

---

(8)
Entry from Alexandria: crystalline Be3BiBr at its relaxed geometry (PBE).

Structure (POSCAR):
```
Be3BiBr
1.0
5.043 0.000 0.000
0.000 5.043 0.000
0.000 0.000 5.043
Be Bi Br
3 1 1
Cartesian
0.000 0.000 2.521 Be
0.000 2.521 0.000 Be
2.521 0.000 0.000 Be
0.000 0.000 0.000 Bi
2.521 2.521 2.521 Br
```

Calculated density (g/cm3): 4.1
Energy relative to the lowest polymorph listed for this composition (meV per atom): 0
Space-group type: No. 221
Volume (A^3/atom): 25.64
DOS at the Fermi energy (states/eV per cell): 2.30
Formation energy (no corrections) (eV per atom): 1.16

---

(9)
Entry from Alexandria: crystalline BeBiBr2 at its relaxed geometry (PBE).

Structure (POSCAR):
```
BeBiBr2
1.0
0.000 3.681 3.681
3.681 0.000 3.681
3.681 3.681 0.000
Be Bi Br
1 1 2
Cartesian
0.000 0.000 0.000 Be
3.681 3.681 3.681 Bi
1.841 1.841 1.841 Br
5.522 5.522 5.522 Br
```

Calculated density (g/cm3): 6.3
Energy relative to the lowest polymorph listed for this composition (meV per atom): 575
Space-group type: No. 225
Volume (A^3/atom): 24.94
DOS at the Fermi energy (states/eV per cell): 2.10
Formation energy (no corrections) (eV per atom): 0.55

---

(10)
Entry from Alexandria: crystalline BeBiBr2 at its relaxed geometry (PBE).

Structure (POSCAR):
```
BeBiBr2
1.0
-3.478 3.478 4.803
3.478 -3.478 4.803
3.478 3.478 -4.803
Be Bi Br
2 2 4
Cartesian
0.000 0.000 0.000 Be
0.000 3.478 2.401 Be
3.478 0.000 2.401 Bi
0.000 0.000 4.803 Bi
-0.566 1.739 1.201 Br
1.739 2.911 3.602 Br
0.566 5.216 1.201 Br
-1.739 4.044 3.602 Br
```

Calculated density (g/cm3): 5.4
Energy relative to the lowest polymorph listed for this composition (meV per atom): 0
Space-group type: No. 122
Volume (A^3/atom): 29.04
DOS at the Fermi energy (states/eV per cell): 3.13
Formation energy (no corrections) (eV per atom): -0.02

---

(11)
Entry from Alexandria: crystalline Be3BiBr at its relaxed geometry (PBE).

Structure (POSCAR):
```
Be3BiBr
1.0
4.578 0.000 0.000
0.000 4.578 0.000
0.000 0.000 4.578
Be Bi Br
3 1 1
Cartesian
0.000 0.000 2.289 Be
0.000 2.289 0.000 Be
2.289 0.000 0.000 Be
2.289 2.289 2.289 Bi
0.000 0.000 0.000 Br
```

Calculated density (g/cm3): 5.5
Energy relative to the lowest polymorph listed for this composition (meV per atom): 32
Space-group type: No. 221
Volume (A^3/atom): 19.19
DOS at the Fermi energy (states/eV per cell): 1.09
Formation energy (no corrections) (eV per atom): 1.19

---

(12)
Entry from Alexandria: crystalline Be2Bi4Br at its relaxed geometry (PBE).

Structure (POSCAR):
```
Be2Bi4Br
1.0
-2.778 2.778 7.295
2.778 -2.778 7.295
2.778 2.778 -7.295
Be Bi Br
2 4 1
Cartesian
0.000 0.000 1.031 Be
0.000 0.000 13.559 Be
2.778 0.000 0.000 Bi
0.000 0.000 3.463 Bi
0.000 2.778 0.000 Bi
0.000 0.000 11.127 Bi
0.000 0.000 7.295 Br
```

Calculated density (g/cm3): 6.9
Space-group type: No. 139
Volume (A^3/atom): 32.16
DOS at the Fermi energy (states/eV per cell): 5.81
Formation energy (no corrections) (eV per atom): 0.64

---

(13)
Entry from Alexandria: crystalline CsBe2BiBr8 at its relaxed geometry (PBE).

Structure (POSCAR):
```
CsBe2BiBr8
1.0
3.341 1.929 10.723
-3.341 1.929 10.723
0.000 -3.858 10.723
Cs Be Bi Br
1 2 1 8
Cartesian
0.000 0.000 0.000 Cs
0.000 0.000 7.822 Be
0.000 0.000 24.347 Be
0.000 0.000 16.085 Bi
-1.229 -1.986 14.348 Br
-2.335 0.071 17.821 Br
0.000 0.000 9.944 Br
-1.106 2.057 14.348 Br
1.106 -2.057 17.821 Br
0.000 0.000 22.225 Br
2.335 -0.071 14.348 Br
1.229 1.986 17.821 Br
```

Calculated density (g/cm3): 4.0
Space-group type: No. 148
Volume (A^3/atom): 34.55
DOS at the Fermi energy (states/eV per cell): 0.00
Formation energy (no corrections) (eV per atom): -1.04

---

(14)
Entry from Alexandria: crystalline BeFeBi2Br at its relaxed geometry (PBE).

Structure (POSCAR):
```
BeFeBi2Br
1.0
5.227 0.000 0.000
0.000 5.227 0.000
0.000 0.000 4.418
Be Fe Bi Br
1 1 2 1
Cartesian
0.000 0.000 0.000 Be
0.000 0.000 2.209 Fe
0.000 2.613 0.000 Bi
2.613 0.000 0.000 Bi
2.613 2.613 2.209 Br
```

Calculated density (g/cm3): 7.7
Space-group type: No. 123
Volume (A^3/atom): 24.14
DOS at the Fermi energy (states/eV per cell): 5.40
Formation energy (no corrections) (eV per atom): 0.65

---

(15)
Entry from Alexandria: crystalline Be2BiIrBr at its relaxed geometry (PBE).

Structure (POSCAR):
```
Be2BiIrBr
1.0
4.513 0.000 0.000
0.000 4.513 0.000
0.000 0.000 5.242
Be Bi Ir Br
2 1 1 1
Cartesian
0.000 2.256 0.000 Be
2.256 0.000 0.000 Be
0.000 0.000 2.621 Bi
0.000 0.000 0.000 Ir
2.256 2.256 2.621 Br
```

Calculated density (g/cm3): 7.8
Space-group type: No. 123
Volume (A^3/atom): 21.35
DOS at the Fermi energy (states/eV per cell): 1.92
Formation energy (no corrections) (eV per atom): 0.28

---

(16)
Entry from Alexandria: crystalline KBe2BiBr8 at its relaxed geometry (PBE).

Structure (POSCAR):
```
KBe2BiBr8
1.0
3.313 1.913 10.279
-3.313 1.913 10.279
0.000 -3.826 10.279
K Be Bi Br
1 2 1 8
Cartesian
0.000 0.000 0.000 K
0.000 0.000 7.618 Be
0.000 0.000 23.219 Be
0.000 0.000 15.419 Bi
-2.327 -0.050 13.674 Br
-1.120 -2.040 17.164 Br
0.000 0.000 9.734 Br
1.206 -1.990 13.674 Br
-1.206 1.990 17.164 Br
0.000 0.000 21.103 Br
1.120 2.040 13.674 Br
2.327 0.050 17.164 Br
```

Calculated density (g/cm3): 3.8
Space-group type: No. 148
Volume (A^3/atom): 32.58
DOS at the Fermi energy (states/eV per cell): 0.00
Formation energy (no corrections) (eV per atom): -1.00

---

(17)
Entry from Alexandria: crystalline BeBiPBr2 at its relaxed geometry (PBE).

Structure (POSCAR):
```
BeBiPBr2
1.0
5.798 0.000 0.000
0.000 5.798 0.000
0.000 0.000 5.216
Be Bi P Br
1 1 1 2
Cartesian
0.000 0.000 0.000 Be
0.000 0.000 2.608 Bi
2.899 2.899 0.000 P
0.000 2.899 2.608 Br
2.899 0.000 2.608 Br
```

Calculated density (g/cm3): 3.9
Space-group type: No. 123
Volume (A^3/atom): 35.07
DOS at the Fermi energy (states/eV per cell): 1.80
Formation energy (no corrections) (eV per atom): 0.85

---

(18)
Entry from Alexandria: crystalline RbBeBiBr2 at its relaxed geometry (PBE).

Structure (POSCAR):
```
RbBeBiBr2
1.0
5.623 0.000 0.000
0.000 5.623 0.000
0.000 0.000 4.909
Rb Be Bi Br
1 1 1 2
Cartesian
0.000 0.000 0.000 Rb
2.811 2.811 2.454 Be
2.811 2.811 0.000 Bi
0.000 2.811 2.454 Br
2.811 0.000 2.454 Br
```

Calculated density (g/cm3): 5.0
Space-group type: No. 123
Volume (A^3/atom): 31.04
DOS at the Fermi energy (states/eV per cell): 2.20
Formation energy (no corrections) (eV per atom): -0.35

---

(19)
Entry from Alexandria: crystalline BeBi2SBr at its relaxed geometry (PBE).

Structure (POSCAR):
```
BeBi2SBr
1.0
5.405 0.000 0.000
0.000 5.405 0.000
0.000 0.000 4.131
Be Bi S Br
1 2 1 1
Cartesian
0.000 0.000 0.000 Be
0.000 2.703 0.000 Bi
2.703 0.000 0.000 Bi
0.000 0.000 2.065 S
2.703 2.703 2.065 Br
```

Calculated density (g/cm3): 7.4
Space-group type: No. 123
Volume (A^3/atom): 24.14
DOS at the Fermi energy (states/eV per cell): 2.98
Formation energy (no corrections) (eV per atom): 0.16

---

(20)
Entry from Alexandria: crystalline BeBiSe2Br at its relaxed geometry (PBE).

Structure (POSCAR):
```
BeBiSe2Br
1.0
5.511 0.000 0.000
0.000 5.511 0.000
0.000 0.000 5.691
Be Bi Se Br
1 1 2 1
Cartesian
0.000 0.000 0.000 Be
2.755 2.755 2.845 Bi
0.000 2.755 2.845 Se
2.755 0.000 2.845 Se
2.755 2.755 0.000 Br
```

Calculated density (g/cm3): 4.4
Energy relative to the lowest polymorph listed for this composition (meV per atom): 820
Space-group type: No. 123
Volume (A^3/atom): 34.56
DOS at the Fermi energy (states/eV per cell): 3.84
Formation energy (no corrections) (eV per atom): 0.75

---

(21)
Entry from Alexandria: crystalline BeBiSeBr2 at its relaxed geometry (PBE).

Structure (POSCAR):
```
BeBiSeBr2
1.0
5.728 0.000 0.000
0.000 5.728 0.000
0.000 0.000 5.563
Be Bi Se Br
1 1 1 2
Cartesian
0.000 0.000 0.000 Be
2.864 2.864 2.781 Bi
2.864 2.864 0.000 Se
0.000 2.864 2.781 Br
2.864 0.000 2.781 Br
```

Calculated density (g/cm3): 4.2
Energy relative to the lowest polymorph listed for this composition (meV per atom): 627
Space-group type: No. 123
Volume (A^3/atom): 36.51
DOS at the Fermi energy (states/eV per cell): 1.90
Formation energy (no corrections) (eV per atom): 0.48

---

(22)
Entry from Alexandria: crystalline BeBiSe2Br at its relaxed geometry (PBE).

Structure (POSCAR):
```
BeBiSe2Br
1.0
4.843 0.000 0.000
0.000 4.843 0.000
0.000 0.000 4.634
Be Bi Se Br
1 1 2 1
Cartesian
0.000 0.000 0.000 Be
2.421 2.421 2.317 Bi
0.000 2.421 0.000 Se
2.421 0.000 0.000 Se
0.000 0.000 2.317 Br
```

Calculated density (g/cm3): 7.0
Energy relative to the lowest polymorph listed for this composition (meV per atom): 0
Space-group type: No. 123
Volume (A^3/atom): 21.74
DOS at the Fermi energy (states/eV per cell): 2.08
Formation energy (no corrections) (eV per atom): -0.07

---

(23)
Entry from Alexandria: crystalline BeBiSeBr2 at its relaxed geometry (PBE).

Structure (POSCAR):
```
BeBiSeBr2
1.0
4.700 0.000 0.000
0.000 4.700 0.000
0.000 0.000 5.131
Be Bi Se Br
1 1 1 2
Cartesian
0.000 0.000 0.000 Be
2.350 2.350 2.566 Bi
0.000 0.000 2.566 Se
0.000 2.350 0.000 Br
2.350 0.000 0.000 Br
```

Calculated density (g/cm3): 6.7
Energy relative to the lowest polymorph listed for this composition (meV per atom): 0
Space-group type: No. 123
Volume (A^3/atom): 22.67
DOS at the Fermi energy (states/eV per cell): 1.95
Formation energy (no corrections) (eV per atom): -0.15

---

(24)
Entry from Alexandria: crystalline Ti2BeBiBr at its relaxed geometry (PBE).

Structure (POSCAR):
```
Ti2BeBiBr
1.0
4.889 0.000 0.000
0.000 4.889 0.000
0.000 0.000 4.548
Ti Be Bi Br
2 1 1 1
Cartesian
0.000 2.444 0.000 Ti
2.444 0.000 0.000 Ti
0.000 0.000 0.000 Be
0.000 0.000 2.274 Bi
2.444 2.444 2.274 Br
```

Calculated density (g/cm3): 6.0
Space-group type: No. 123
Volume (A^3/atom): 21.74
DOS at the Fermi energy (states/eV per cell): 5.29
Formation energy (no corrections) (eV per atom): 0.54

---

(25)
Entry from Alexandria: crystalline TiBeBi2Br at its relaxed geometry (PBE).

Structure (POSCAR):
```
TiBeBi2Br
1.0
5.506 0.000 0.000
0.000 5.506 0.000
0.000 0.000 4.894
Ti Be Bi Br
1 1 2 1
Cartesian
0.000 0.000 0.000 Ti
2.753 2.753 2.447 Be
0.000 2.753 0.000 Bi
2.753 0.000 0.000 Bi
0.000 0.000 2.447 Br
```

Calculated density (g/cm3): 6.2
Space-group type: No. 123
Volume (A^3/atom): 29.67
DOS at the Fermi energy (states/eV per cell): 4.11
Formation energy (no corrections) (eV per atom): 0.53